# Ce4ThSn2

Crystalline Ce4ThSn2 at its relaxed geometry (PBE-GGA, the Alexandria database).

```
7
Lattice="0.000 5.351 5.738 3.146 0.000 5.738 3.146 5.351 0.000" Properties=species:S:1:pos:R:3 pbc="T T T"
Ce 1.573 2.675 0.000
Ce 1.573 2.675 2.869
Ce 1.573 2.675 5.738
Ce 4.719 8.026 8.607
Th 0.000 0.000 0.000
Sn 3.146 5.351 4.168
Sn 3.146 5.351 7.308
```

## Properties
Its energy of formation is -0.143 eV per atom. For the magnetic moment, the calculation gives 1.6 Bohr magnetons per cell.



# Ce3ThSn2

Crystalline Ce3ThSn2 at its relaxed geometry (PBE-GGA, the Alexandria database).

```
6
Lattice="3.275 0.000 0.000 0.000 5.290 0.000 0.000 0.000 9.121" Properties=species:S:1:pos:R:3 pbc="T T T"
Ce 0.000 0.000 0.000
Ce 0.000 0.000 2.879
Ce 0.000 2.645 7.660
Th 0.000 2.645 4.555
Sn 1.638 0.000 6.060
Sn 1.638 2.645 1.503
```

## Properties
Its energy of formation is -0.252 eV per atom. For the magnetic moment, the calculation gives 1.8 Bohr magnetons per cell.



# Ce4ThSn2

Crystalline Ce4ThSn2 at its relaxed geometry (PBE-GGA, the Alexandria database).

```
14
Lattice="4.191 0.000 0.000 0.000 4.191 0.000 0.000 0.000 21.574" Properties=species:S:1:pos:R:3 pbc="T T T"
Ce 0.000 0.000 3.242
Ce 0.000 0.000 18.332
Ce 0.000 2.095 5.394
Ce 0.000 2.095 16.181
Ce 2.095 0.000 5.394
Ce 2.095 0.000 16.181
Ce 2.095 2.095 7.545
Ce 2.095 2.095 14.029
Th 0.000 0.000 0.000
Th 2.095 2.095 10.787
Sn 0.000 0.000 9.106
Sn 0.000 0.000 12.469
Sn 2.095 2.095 1.681
Sn 2.095 2.095 19.893
```

## Properties
Its energy of formation is -0.066 eV per atom. For the magnetic moment, the calculation gives 2.3 Bohr magnetons per cell.



# Ce3Th3Sn2

Crystalline Ce3Th3Sn2 at its relaxed geometry (PBE-GGA, the Alexandria database).

```
8
Lattice="4.847 0.000 0.000 0.000 4.930 0.000 0.000 0.000 9.617" Properties=species:S:1:pos:R:3 pbc="T T T"
Ce 0.000 0.000 0.000
Ce 2.424 0.000 2.350
Ce 2.424 0.000 7.267
Th 0.000 0.000 4.808
Th 2.424 2.465 0.000
Th 2.424 2.465 4.808
Sn 0.000 2.465 2.387
Sn 0.000 2.465 7.230
```

## Properties
Its energy of formation is -0.351 eV per atom. For the magnetic moment, the calculation gives 2.4 Bohr magnetons per cell.



# Ce5ThSn3

Crystalline Ce5ThSn3 at its relaxed geometry (PBE-GGA, the Alexandria database).

```
18
Lattice="-4.013 4.013 8.345 4.013 -4.013 8.345 4.013 4.013 -8.345" Properties=species:S:1:pos:R:3 pbc="T T T"
Ce 0.000 0.000 0.000
Ce 5.553 1.540 -2.240
Ce 1.540 2.473 -2.240
Ce 5.553 1.540 2.240
Ce 1.540 2.473 2.240
Ce 0.000 0.000 8.345
Ce 2.473 1.540 6.105
Ce -1.540 2.473 6.105
Ce 2.473 1.540 10.585
Ce -1.540 2.473 10.585
Th 4.013 0.000 4.173
Th 0.000 4.013 4.173
Sn 3.029 0.984 0.000
Sn 0.000 0.000 4.173
Sn 3.029 -0.984 8.345
Sn 0.984 4.996 0.000
Sn 0.000 0.000 12.518
Sn 0.984 3.029 8.345
```

## Properties
Its energy of formation is -0.196 eV per atom. For the magnetic moment, the calculation gives 8.5 Bohr magnetons per cell.



# CeThSn

Crystalline CeThSn at its relaxed geometry (PBE-GGA, the Alexandria database).

```
6
Lattice="4.227 0.000 0.000 0.000 4.227 0.000 0.000 0.000 9.812" Properties=species:S:1:pos:R:3 pbc="T T T"
Ce 0.000 0.000 0.000
Ce 2.113 2.113 4.906
Th 0.000 0.000 2.878
Th 2.113 2.113 7.784
Sn 0.000 0.000 6.331
Sn 2.113 2.113 1.426
```

## Properties
Its energy of formation is -0.376 eV per atom. For the magnetic moment, the calculation gives 1.4 Bohr magnetons per cell.



# Ce3ThSn2

Crystalline Ce3ThSn2 at its relaxed geometry (PBE-GGA, the Alexandria database).

```
6
Lattice="4.535 0.000 0.000 0.000 4.535 0.000 0.000 0.000 8.994" Properties=species:S:1:pos:R:3 pbc="T T T"
Ce 0.000 0.000 0.000
Ce 0.000 2.267 5.722
Ce 2.267 0.000 3.272
Th 2.267 2.267 0.000
Sn 0.000 2.267 2.434
Sn 2.267 0.000 6.560
```

## Properties
Its energy of formation is -0.397 eV per atom. For the magnetic moment, the calculation gives 3.3 Bohr magnetons per cell.



# CeThSn

Crystalline CeThSn at its relaxed geometry (PBE-GGA, the Alexandria database).

```
12
Lattice="5.416 0.000 0.000 0.000 6.546 0.000 0.000 0.000 9.180" Properties=species:S:1:pos:R:3 pbc="T T T"
Ce 0.000 0.000 1.362
Ce 0.000 0.000 7.818
Ce 2.708 3.273 3.228
Ce 2.708 3.273 5.952
Th 0.000 3.273 1.588
Th 0.000 3.273 7.592
Th 2.708 0.000 3.002
Th 2.708 0.000 6.178
Sn 0.000 1.581 4.590
Sn 0.000 4.965 4.590
Sn 2.708 1.692 0.000
Sn 2.708 4.854 0.000
```

## Properties
Its energy of formation is -0.167 eV per atom. For the magnetic moment, the calculation gives 0.8 Bohr magnetons per cell.